[1]
ZnGaIr2F | Alexandria via LeMat-Bulk | PBE | relaxed; crystal system = tetragonal; total DFT energy (no corrections) = -3.73 eV/atom; M_tot = 0.3518 μB/atom; calculated volume = 100.3 Å³ per cell
1.0
4.612 0.000 0.000
0.000 4.612 0.000
0.000 0.000 4.716
Zn Ga Ir F
1 1 2 1
direct
0.000 0.000 0.000
0.000 0.000 0.500
0.000 0.500 0.500
0.500 0.000 0.500
0.500 0.500 0.000



[2]
KGa2F7 | Alexandria via LeMat-Bulk | PBE | relaxed; crystal system = orthorhombic; total DFT energy (no corrections) = -4.63 eV/atom; M_tot = 0.0000 μB/atom; calculated volume = 128.3 Å³ per cell
1.0
3.105 -5.365 0.000
3.105 5.365 0.000
0.000 0.000 3.852
K Ga F
1 2 7
direct
0.000 0.000 0.000
0.313 0.687 0.500
0.687 0.313 0.500
0.046 0.340 0.500
0.301 0.699 0.000
0.340 0.046 0.500
0.500 0.500 0.500
0.660 0.954 0.500
0.699 0.301 0.000
0.954 0.660 0.500



[3]
KGaF3 | Alexandria via LeMat-Bulk | PBE | relaxed; crystal system = cubic; energy above the most stable polymorph in this dataset = 198 meV per atom; total DFT energy (no corrections) = -4.35 eV/atom; M_tot = 0.0000 μB/atom; calculated volume = 79.0 Å³ per cell
1.0
4.290 0.000 0.000
0.000 4.290 0.000
0.000 0.000 4.290
K Ga F
1 1 3
direct
0.000 0.000 0.000
0.500 0.500 0.500
0.000 0.500 0.500
0.500 0.000 0.500
0.500 0.500 0.000



[4]
K3Ga5F12 | Alexandria via LeMat-Bulk | PBE | relaxed; crystal system = cubic; total DFT energy (no corrections) = -4.30 eV/atom; M_tot = 0.0000 μB/atom; calculated volume = 1504.2 Å³ per cell
1.0
-7.218 7.218 7.218
7.218 -7.218 7.218
7.218 7.218 -7.218
K Ga F
12 20 48
direct
0.125 0.250 0.375
0.125 0.375 0.750
0.250 0.375 0.125
0.250 0.875 0.625
0.375 0.125 0.250
0.375 0.750 0.125
0.625 0.250 0.875
0.625 0.875 0.750
0.750 0.125 0.375
0.750 0.625 0.875
0.875 0.625 0.250
0.875 0.750 0.625
0.000 0.000 0.000
0.000 0.000 0.500
0.000 0.500 0.000
0.000 0.500 0.500
0.125 0.750 0.875
0.125 0.875 0.250
0.250 0.125 0.875
0.250 0.625 0.375
0.375 0.250 0.625
0.375 0.625 0.750
0.500 0.000 0.000
0.500 0.000 0.500
0.500 0.500 0.000
0.500 0.500 0.500
0.625 0.375 0.250
0.625 0.750 0.375
0.750 0.375 0.625
0.750 0.875 0.125
0.875 0.125 0.750
0.875 0.250 0.125
0.018 0.227 0.127
0.018 0.291 0.891
0.100 0.727 0.709
0.100 0.873 0.391
0.109 0.627 0.400
0.109 0.982 0.709
0.127 0.018 0.227
0.127 0.609 0.900
0.209 0.227 0.600
0.209 0.482 0.609
0.227 0.127 0.018
0.227 0.600 0.209
0.273 0.291 0.900
0.273 0.482 0.373
0.291 0.891 0.018
0.291 0.900 0.273
0.373 0.273 0.482
0.373 0.600 0.891
0.391 0.100 0.873
0.391 0.791 0.518
0.400 0.109 0.627
0.400 0.791 0.773
0.482 0.373 0.273
0.482 0.609 0.209
0.518 0.391 0.791
0.518 0.627 0.727
0.600 0.209 0.227
0.600 0.891 0.373
0.609 0.209 0.482
0.609 0.900 0.127
0.627 0.400 0.109
0.627 0.727 0.518
0.709 0.100 0.727
0.709 0.109 0.982
0.727 0.518 0.627
0.727 0.709 0.100
0.773 0.400 0.791
0.773 0.873 0.982
0.791 0.518 0.391
0.791 0.773 0.400
0.873 0.391 0.100
0.873 0.982 0.773
0.891 0.018 0.291
0.891 0.373 0.600
0.900 0.127 0.609
0.900 0.273 0.291
0.982 0.709 0.109
0.982 0.773 0.873



[5]
K3GaF7 | Alexandria via LeMat-Bulk | PBE | relaxed; crystal system = monoclinic; total DFT energy (no corrections) = -4.27 eV/atom; M_tot = 0.1009 μB/atom; calculated volume = 196.4 Å³ per cell
1.0
4.173 -4.158 0.000
4.173 4.158 0.000
-3.377 0.000 5.660
K Ga F
3 1 7
direct
0.000 0.000 0.000
0.271 0.709 0.481
0.709 0.271 0.481
0.501 0.501 0.990
0.113 0.113 0.450
0.176 0.531 0.780
0.349 0.349 0.129
0.483 0.818 0.205
0.531 0.176 0.780
0.640 0.640 0.832
0.818 0.483 0.205



[6]
KGaF3 | Alexandria via LeMat-Bulk | PBE | relaxed; crystal system = triclinic; energy above the most stable polymorph in this dataset = 0 meV per atom; total DFT energy (no corrections) = -4.55 eV/atom; M_tot = 0.0000 μB/atom; calculated volume = 183.2 Å³ per cell
1.0
4.439 0.000 0.000
-0.583 6.619 0.000
-0.673 -2.375 6.234
K Ga F
2 2 6
direct
0.144 0.179 0.340
0.856 0.821 0.660
0.403 0.646 0.130
0.597 0.354 0.870
0.100 0.765 0.017
0.258 0.597 0.363
0.357 0.096 0.705
0.643 0.904 0.295
0.742 0.403 0.637
0.900 0.235 0.983



[7]
K2Ga4F | Alexandria via LeMat-Bulk | PBE | relaxed; crystal system = tetragonal; total DFT energy (no corrections) = -2.54 eV/atom; M_tot = 0.0000 μB/atom; calculated volume = 216.8 Å³ per cell
1.0
-2.545 2.545 8.367
2.545 -2.545 8.367
2.545 2.545 -8.367
K Ga F
2 4 1
direct
0.158 0.158 0.000
0.842 0.842 0.000
0.000 0.500 0.500
0.376 0.376 0.000
0.500 0.000 0.500
0.624 0.624 0.000
0.500 0.500 0.000



[8]
K3GaF8 | Alexandria via LeMat-Bulk | PBE | relaxed; crystal system = tetragonal; total DFT energy (no corrections) = -3.94 eV/atom; M_tot = 0.1683 μB/atom; calculated volume = 202.2 Å³ per cell
1.0
-2.951 2.951 5.805
2.951 -2.951 5.805
2.951 2.951 -5.805
K Ga F
3 1 8
direct
0.000 0.000 0.000
0.250 0.750 0.500
0.750 0.250 0.500
0.500 0.500 0.000
0.194 0.194 0.595
0.194 0.599 0.000
0.401 0.401 0.595
0.401 0.806 0.000
0.599 0.194 0.000
0.599 0.599 0.405
0.806 0.401 0.000
0.806 0.806 0.405



[9]
KGa4F12 | Alexandria via LeMat-Bulk | PBE | relaxed; crystal system = cubic; total DFT energy (no corrections) = -4.63 eV/atom; M_tot = 0.0000 μB/atom; calculated volume = 245.5 Å³ per cell
1.0
-3.944 3.944 3.944
3.944 -3.944 3.944
3.944 3.944 -3.944
K Ga F
1 4 12
direct
0.000 0.000 0.000
0.000 0.000 0.500
0.000 0.500 0.000
0.500 0.000 0.000
0.500 0.500 0.500
0.013 0.760 0.253
0.240 0.253 0.493
0.240 0.747 0.987
0.253 0.013 0.760
0.253 0.493 0.240
0.493 0.240 0.253
0.507 0.760 0.747
0.747 0.507 0.760
0.747 0.987 0.240
0.760 0.253 0.013
0.760 0.747 0.507
0.987 0.240 0.747



[10]
KGaF5 | Alexandria via LeMat-Bulk | PBE | relaxed; crystal system = monoclinic; total DFT energy (no corrections) = -4.19 eV/atom; M_tot = 0.1432 μB/atom; calculated volume = 214.1 Å³ per cell
1.0
5.034 -3.091 0.000
5.034 3.091 0.000
-3.875 0.000 6.880
K Ga F
2 2 10
direct
0.001 0.999 0.750
0.999 0.001 0.250
0.500 0.500 0.000
0.500 0.500 0.500
0.126 0.600 0.912
0.127 0.595 0.408
0.400 0.874 0.588
0.405 0.873 0.092
0.497 0.503 0.750
0.503 0.497 0.250
0.595 0.127 0.908
0.600 0.126 0.412
0.873 0.405 0.592
0.874 0.400 0.088



[11]
K5Ga2F12 | Alexandria via LeMat-Bulk | PBE | relaxed; crystal system = monoclinic; total DFT energy (no corrections) = -4.39 eV/atom; M_tot = 0.0535 μB/atom; calculated volume = 356.7 Å³ per cell
1.0
7.144 -3.060 0.000
7.144 3.060 0.000
-2.412 0.000 8.157
K Ga F
5 2 12
direct
0.000 0.000 0.000
0.298 0.298 0.655
0.310 0.310 0.138
0.690 0.690 0.862
0.702 0.702 0.345
0.247 0.753 0.500
0.753 0.247 0.500
0.000 0.000 0.348
0.000 0.000 0.652
0.094 0.596 0.910
0.120 0.611 0.434
0.389 0.880 0.566
0.404 0.906 0.090
0.499 0.499 0.651
0.501 0.501 0.349
0.596 0.094 0.910
0.611 0.120 0.434
0.880 0.389 0.566
0.906 0.404 0.090



[12]
KGaF3 | Alexandria via LeMat-Bulk | PBE | relaxed; crystal system = cubic; energy above the most stable polymorph in this dataset = 1221 meV per atom; total DFT energy (no corrections) = -3.33 eV/atom; M_tot = 0.2000 μB/atom; calculated volume = 113.5 Å³ per cell
1.0
4.842 0.000 0.000
0.000 4.842 0.000
0.000 0.000 4.842
K Ga F
1 1 3
direct
0.000 0.000 0.000
0.500 0.500 0.500
0.000 0.000 0.500
0.000 0.500 0.000
0.500 0.000 0.000



[13]
KGaF4 | Alexandria via LeMat-Bulk | PBE | relaxed; crystal system = orthorhombic; total DFT energy (no corrections) = -4.71 eV/atom; M_tot = 0.0000 μB/atom; calculated volume = 734.7 Å³ per cell
1.0
12.352 0.000 0.000
0.000 7.614 0.000
0.000 0.000 7.811
K Ga F
8 8 32
direct
0.015 0.250 0.125
0.027 0.250 0.625
0.473 0.750 0.125
0.485 0.750 0.625
0.515 0.250 0.375
0.527 0.250 0.875
0.973 0.750 0.375
0.985 0.750 0.875
0.248 0.501 0.375
0.248 0.999 0.375
0.252 0.001 0.875
0.252 0.499 0.875
0.748 0.501 0.125
0.748 0.999 0.125
0.752 0.001 0.625
0.752 0.499 0.625
0.101 0.044 0.366
0.101 0.456 0.366
0.104 0.046 0.884
0.104 0.454 0.884
0.212 0.750 0.411
0.217 0.750 0.840
0.246 0.040 0.625
0.246 0.460 0.625
0.254 0.540 0.125
0.254 0.960 0.125
0.283 0.250 0.340
0.288 0.250 0.911
0.396 0.546 0.384
0.396 0.954 0.384
0.399 0.544 0.866
0.399 0.956 0.866
0.601 0.044 0.134
0.601 0.456 0.134
0.604 0.046 0.616
0.604 0.454 0.616
0.712 0.750 0.089
0.717 0.750 0.660
0.746 0.040 0.875
0.746 0.460 0.875
0.754 0.540 0.375
0.754 0.960 0.375
0.783 0.250 0.160
0.788 0.250 0.589
0.896 0.546 0.116
0.896 0.954 0.116
0.899 0.544 0.634
0.899 0.956 0.634



[14]
KGaF6 | Alexandria via LeMat-Bulk | PBE | relaxed; crystal system = trigonal; total DFT energy (no corrections) = -3.83 eV/atom; M_tot = 0.2501 μB/atom; calculated volume = 120.6 Å³ per cell
1.0
3.670 2.119 2.586
-3.670 2.119 2.586
0.000 -4.237 2.586
K Ga F
1 1 6
direct
0.000 0.000 0.000
0.500 0.500 0.500
0.230 0.230 0.588
0.230 0.588 0.230
0.412 0.770 0.770
0.588 0.230 0.230
0.770 0.412 0.770
0.770 0.770 0.412



[15]
KLa2GaF | Alexandria via LeMat-Bulk | PBE | relaxed; crystal system = tetragonal; total DFT energy (no corrections) = -3.68 eV/atom; M_tot = 0.0000 μB/atom; calculated volume = 189.2 Å³ per cell
1.0
5.820 0.000 0.000
0.000 5.820 0.000
0.000 0.000 5.586
K La Ga F
1 2 1 1
direct
0.000 0.000 0.000
0.000 0.500 0.500
0.500 0.000 0.500
0.500 0.500 0.000
0.500 0.500 0.500



[16]
K3Li2GaF9 | Alexandria via LeMat-Bulk | PBE | relaxed; crystal system = trigonal; total DFT energy (no corrections) = -4.46 eV/atom; M_tot = 0.0727 μB/atom; calculated volume = 199.1 Å³ per cell
1.0
5.672 0.000 0.000
-2.836 4.912 0.000
0.000 0.000 7.146
K Li Ga F
3 2 1 9
direct
0.000 0.000 0.000
0.333 0.667 0.676
0.667 0.333 0.324
0.333 0.667 0.180
0.667 0.333 0.820
0.000 0.000 0.500
0.000 0.500 0.000
0.160 0.320 0.344
0.160 0.840 0.344
0.320 0.160 0.656
0.500 0.000 0.000
0.500 0.500 0.000
0.680 0.840 0.344
0.840 0.160 0.656
0.840 0.680 0.656



[17]
K3LiGa2F9 | Alexandria via LeMat-Bulk | PBE | relaxed; crystal system = trigonal; total DFT energy (no corrections) = -4.54 eV/atom; M_tot = 0.0000 μB/atom; calculated volume = 211.2 Å³ per cell
1.0
5.834 0.000 0.000
-2.917 5.053 0.000
0.000 0.000 7.164
K Li Ga F
3 1 2 9
direct
0.000 0.000 0.000
0.333 0.667 0.658
0.667 0.333 0.342
0.000 0.000 0.500
0.333 0.667 0.175
0.667 0.333 0.825
0.000 0.500 0.000
0.172 0.344 0.328
0.172 0.828 0.328
0.344 0.172 0.672
0.500 0.000 0.000
0.500 0.500 0.000
0.656 0.828 0.328
0.828 0.172 0.672
0.828 0.656 0.672